Below is a geometry-optimized La2Ni2Sn structure, with properties calculated at the PBE-GGA level.

As for the calculated total energy: -5.492 eV/atom. As for the formation energy: -408.2 meV/atom.

It has space group I4/mmm (No. 139), with a = 5.581 Å, b = 5.581 Å, c = 7.725 Å, α = 90.00°, β = 90.00° and γ = 90.00°. The distinct sites, in fractional coordinates, are La at (0.000, 0.500, 0.250), Ni at (0.000, 0.000, 0.151) and Sn at (0.000, 0.000, 0.500).


Below is a geometry-optimized BaMg2CdGa4 structure, with properties calculated at the PBE-GGA level.

As for the calculated total energy: -2.450 eV/atom. As for the formation energy: -183.5 meV/atom.

It has space group R-3m (No. 166, hexagonal axes), with a = 4.8046 Å, b = 4.8046 Å, c = 29.3874 Å, α = 90.00°, β = 90.00° and γ = 120.00°. The distinct sites, in fractional coordinates, are Ba at (0.0000, 0.0000, 0.0000), Mg at (0.0000, 0.0000, 0.2313), Cd at (0.0000, 0.0000, 0.5000), Ga at (0.0000, 0.0000, 0.1221) and Ga at (0.0000, 0.0000, 0.4048).


Below is a geometry-optimized Ce4TeAsSe2 structure, with properties calculated at the PBE-GGA level.

As for the calculated total energy: -6.414 eV/atom. The value obtained for the formation energy (no corrections) is -1.602 eV/atom.

It has space group Imma (No. 74), with a = 8.537 Å, b = 8.588 Å, c = 12.112 Å, α = 90.00°, β = 90.00° and γ = 90.00°. The distinct sites, in fractional coordinates, are Ce at (0.000, 0.015, 0.248), Ce at (0.246, 0.250, 0.007), Te at (0.250, 0.250, 0.750), As at (0.000, 0.000, 0.000), Se at (0.000, 0.000, 0.500) and Se at (0.250, 0.250, 0.250).


Below is a geometry-optimized SmHoGa2 structure, with properties calculated at the PBE-GGA level.

As for the calculated total energy: -4.411 eV/atom. As for the formation energy: -573.8 meV/atom.

It has space group Fm-3m (No. 225), with a = 7.205 Å, b = 7.205 Å, c = 7.205 Å, α = 90.00°, β = 90.00° and γ = 90.00°. The distinct sites, in fractional coordinates, are Sm at (0.000, 0.000, 0.000), Ho at (0.000, 0.000, 0.500) and Ga at (0.250, 0.250, 0.250).


Below is a geometry-optimized Pm4Nd2Sm3 structure, with properties calculated at the PBE-GGA level.

As for the calculated total energy: -4.685 eV/atom. As for the formation energy: 59.0 meV/atom.

It has space group P3m1 (No. 156), with a = 3.6542 Å, b = 3.6542 Å, c = 27.1633 Å, α = 90.00°, β = 90.00° and γ = 120.00°. The distinct sites, in fractional coordinates, are Pm at (0.0000, 0.0000, 0.0000), Pm at (0.0000, 0.0000, 0.2165), Pm at (0.3333, 0.6667, 0.3250), Pm at (0.3333, 0.6667, 0.5434), Nd at (0.0000, 0.0000, 0.6530), Nd at (0.0000, 0.0000, 0.8713), Sm at (0.0000, 0.0000, 0.4343), Sm at (0.3333, 0.6667, 0.1053) and Sm at (0.3333, 0.6667, 0.7650).


Below is a geometry-optimized RbBOF2 structure, with properties calculated at the PBE-GGA level.

As for the calculated total energy: -5.092 eV/atom. The value obtained for the formation energy (no corrections) is -1.822 eV/atom.

It has space group P4/mmm (No. 123), with a = 4.578 Å, b = 4.578 Å, c = 2.770 Å, α = 90.00°, β = 90.00° and γ = 90.00°. The distinct sites, in fractional coordinates, are Rb at (0.000, 0.000, 0.000), B at (0.500, 0.500, 0.500), O at (0.500, 0.500, 0.000) and F at (0.000, 0.500, 0.500).


Question: calculated total energy of number 3 (Ce4TeAsSe2)?
Answer: -6.414 eV/atom


Question: Which of these has the highest calculated total energy?
Answer: BaMg2CdGa4


Please write out number 3 again, unchanged.
Below is a geometry-optimized Ce4TeAsSe2 structure, with properties calculated at the PBE-GGA level.

As for the calculated total energy: -6.414 eV/atom. The value obtained for the formation energy (no corrections) is -1.602 eV/atom.

It has space group Imma (No. 74), with a = 8.537 Å, b = 8.588 Å, c = 12.112 Å, α = 90.00°, β = 90.00° and γ = 90.00°. The distinct sites, in fractional coordinates, are Ce at (0.000, 0.015, 0.248), Ce at (0.246, 0.250, 0.007), Te at (0.250, 0.250, 0.750), As at (0.000, 0.000, 0.000), Se at (0.000, 0.000, 0.500) and Se at (0.250, 0.250, 0.250).